Computed, not measured: a relaxed structure of NdSmZnRu at the PBE-GGA level of DFT.

Values from the calculation:
Its total magnetization is 0.0 Bohr magnetons per cell. As for the symmetry: Amm2. For the relative energy among the computed polymorphs, the calculation gives 0.000 eV/atom. As for the total DFT energy (no corrections): -5.26 eV per atom. For the energy relative to the elements, the calculation gives -98 kJ/mol of formula units.

a = 4.0775 Å, b = 4.3553 Å, c = 5.7666 Å
α = 90.00°, β = 110.70°, γ = 90.00°
Last column: nearest neighbours and their distance in Å.
Fractional coordinates of all 4 atoms:
Zn 0.5677 0.5000 0.1354  2 Ru 2.65
Nd 0.1421 0.0000 0.2842  3 Ru 3.08, 4 Zn 3.09
Sm 0.8623 0.5000 0.7247  3 Zn 3.01-3.18, 4 Ru 3.07
Ru 0.4278 0.0000 0.8557  2 Zn 2.65

---

Computed, not measured: a relaxed structure of Nd7Sn2Ru2 at the PBE-GGA level of DFT.

Values from the calculation:
Its total magnetization is 0.0 Bohr magnetons per cell. As for the symmetry: Cmmm. As for the total DFT energy (no corrections): -5.74 eV per atom. For the energy relative to the elements, the calculation gives -309 kJ/mol of formula units.

a = 7.0259 Å, b = 7.2449 Å, c = 7.0259 Å
α = 90.00°, β = 107.35°, γ = 90.00°
Last column: nearest neighbours and their distance in Å.
Fractional coordinates of all 11 atoms:
Ru 0.7094 0.0000 0.2906  6 Nd 2.80-2.93
Ru 0.2906 0.0000 0.7094  6 Nd 2.80-2.93
Sn 0.1754 0.5000 0.1754  1 Sn 2.92
Sn 0.8246 0.5000 0.8246  1 Sn 2.92
Nd 0.0000 0.7484 0.5000  2 Ru 2.80
Nd 0.5000 0.2385 0.5000  2 Ru 2.93
Nd 0.5000 0.7615 0.5000  2 Ru 2.93
Nd 0.5000 0.2516 0.0000  2 Ru 2.80
Nd 0.5000 0.7484 0.0000  2 Ru 2.80
Nd 0.0000 0.2516 0.5000  2 Ru 2.80
Nd 0.0000 0.0000 0.0000  2 Ru 3.29

---

Computed, not measured: a relaxed structure of Nd2SnRu2 at the PBE-GGA level of DFT.

Values from the calculation:
Its total magnetization is 0.0 Bohr magnetons per cell. As for the symmetry: C2/c. As for the total DFT energy (no corrections): -6.84 eV per atom. For the energy relative to the elements, the calculation gives -203 kJ/mol of formula units.

a = 5.7348 Å, b = 5.8583 Å, c = 8.2085 Å
α = 103.19°, β = 90.00°, γ = 119.31°
Last column: nearest neighbours and their distance in Å.
Fractional coordinates of all 10 atoms:
Nd 0.4910 0.2887 0.1461  6 Ru 3.07-3.28, 2 Sn 3.34-3.43
Nd 0.2023 0.7113 0.3539  6 Ru 3.07-3.28, 2 Sn 3.34-3.43
Nd 0.7977 0.2887 0.6461  6 Ru 3.07-3.28, 2 Sn 3.34-3.43
Nd 0.5090 0.7113 0.8539  6 Ru 3.07-3.28, 2 Sn 3.34-3.43
Ru 0.3002 0.2912 0.5089  1 Ru 2.44
Ru 0.0090 0.7088 0.9911  1 Ru 2.44
Ru 0.6998 0.7088 0.4911  1 Ru 2.44
Ru 0.9910 0.2912 0.0089  1 Ru 2.44
Sn 0.8672 0.0000 0.2500  4 Ru 2.77-2.79
Sn 0.1328 0.0000 0.7500  4 Ru 2.77-2.79

---

Computed, not measured: a relaxed structure of NdSn3Ru2 at the PBE-GGA level of DFT.

Values from the calculation:
Its total magnetization is 0.0 Bohr magnetons per cell. As for the symmetry: Cmcm. As for the total DFT energy (no corrections): -6.20 eV per atom. For the energy relative to the elements, the calculation gives -179 kJ/mol of formula units.

a = 6.0547 Å, b = 6.5504 Å, c = 6.5504 Å
α = 97.16°, β = 89.99°, γ = 89.99°
Last column: nearest neighbours and their distance in Å.
Fractional coordinates of all 12 atoms:
Sn 0.7501 0.9643 0.9643  4 Ru 2.67
Sn 0.2500 0.5606 0.8951  4 Ru 2.72-2.85
Sn 0.7500 0.4394 0.1049  4 Ru 2.72-2.85
Sn 0.2499 0.0357 0.0357  4 Ru 2.67
Sn 0.7500 0.1049 0.4394  4 Ru 2.72-2.85
Sn 0.2500 0.8951 0.5606  4 Ru 2.72-2.85
Ru 0.5000 0.7782 0.2218  6 Sn 2.67-2.85
Ru 0.0000 0.2219 0.7781  6 Sn 2.67-2.85
Ru 0.0000 0.7781 0.2219  6 Sn 2.67-2.85
Ru 0.5000 0.2218 0.7782  6 Sn 2.67-2.85
Nd 0.7499 0.6083 0.6083  3 Sn 3.09-3.35, 4 Ru 3.26
Nd 0.2501 0.3917 0.3917  3 Sn 3.09-3.35, 4 Ru 3.26

---

Computed, not measured: a relaxed structure of NdSnRu2 at the PBE-GGA level of DFT.

Values from the calculation:
Its total magnetization is 0.0 Bohr magnetons per cell. As for the symmetry: P4/mmm. As for the total DFT energy (no corrections): -7.01 eV per atom. For the energy relative to the elements, the calculation gives -70 kJ/mol of formula units.

a = 3.4542 Å, b = 4.6850 Å, c = 4.6850 Å
α = 90.00°, β = 90.00°, γ = 90.00°
Last column: nearest neighbours and their distance in Å.
Fractional coordinates of all 4 atoms:
Nd 0.5000 0.0000 0.0000  8 Ru 2.91
Sn 0.5000 0.5000 0.5000  8 Ru 2.91
Ru 0.0000 0.5000 0.0000  4 Sn 2.91, 4 Nd 2.91
Ru 0.0000 0.0000 0.5000  4 Sn 2.91, 4 Nd 2.91

---

Computed, not measured: a relaxed structure of Nd8Sn2Ru3 at the PBE-GGA level of DFT.

Values from the calculation:
Its total magnetization is 0.0 Bohr magnetons per cell. As for the symmetry: Cmmm. As for the total DFT energy (no corrections): -5.99 eV per atom. For the energy relative to the elements, the calculation gives -370 kJ/mol of formula units.

a = 5.0676 Å, b = 10.0564 Å, c = 9.1457 Å
α = 123.39°, β = 90.00°, γ = 90.00°
Last column: nearest neighbours and their distance in Å.
Fractional coordinates of all 13 atoms:
Nd 0.0000 0.1132 0.2260  4 Ru 3.04-3.07, 2 Sn 3.35
Nd 0.0000 0.6090 0.2181  2 Ru 3.02, 2 Sn 3.26, 1 Nd 3.33
Nd 0.0000 0.3910 0.7819  2 Ru 3.02, 2 Sn 3.26, 1 Nd 3.33
Nd 0.5000 0.8654 0.2209  3 Ru 2.99-3.04, 2 Sn 3.28-3.32
Nd 0.0000 0.8868 0.7740  4 Ru 3.04-3.07, 2 Sn 3.35
Nd 0.5000 0.6448 0.7794  3 Ru 2.98-3.04, 2 Sn 3.27-3.32
Nd 0.5000 0.1346 0.7791  3 Ru 2.99-3.04, 2 Sn 3.28-3.32
Nd 0.5000 0.3552 0.2206  3 Ru 2.98-3.04, 2 Sn 3.27-3.32
Ru 0.0000 0.7512 0.0003  8 Nd 3.02-3.04
Ru 0.5000 0.0000 0.0000  8 Nd 2.98-3.07
Ru 0.0000 0.2488 0.9997  8 Nd 3.02-3.04
Sn 0.5000 0.7435 0.4875  8 Nd 3.26-3.35
Sn 0.5000 0.2565 0.5125  8 Nd 3.26-3.35

---

Computed, not measured: a relaxed structure of Nd3Sn3Ru2 at the PBE-GGA level of DFT.

Values from the calculation:
Its total magnetization is 0.0 Bohr magnetons per cell. As for the symmetry: Cmcm. As for the total DFT energy (no corrections): -6.16 eV per atom. For the energy relative to the elements, the calculation gives -423 kJ/mol of formula units.

a = 4.5628 Å, b = 6.0393 Å, c = 15.5680 Å
α = 90.00°, β = 90.00°, γ = 112.20°
Last column: nearest neighbours and their distance in Å.
Fractional coordinates of all 16 atoms:
Ru 0.2073 0.4146 0.1121  4 Sn 2.69-2.80
Ru 0.7927 0.5854 0.8879  4 Sn 2.69-2.80
Ru 0.2073 0.4146 0.3879  4 Sn 2.69-2.80
Ru 0.7927 0.5854 0.6121  4 Sn 2.69-2.80
Nd 0.3437 0.6873 0.7500  4 Ru 3.18, 5 Sn 3.24-3.38
Nd 0.0662 0.1323 0.8889  3 Ru 3.06-3.41, 4 Sn 3.25-3.32
Nd 0.0662 0.1323 0.6111  3 Ru 3.06-3.41, 4 Sn 3.25-3.32
Nd 0.6563 0.3127 0.2500  4 Ru 3.18, 5 Sn 3.24-3.38
Nd 0.9338 0.8677 0.3889  3 Ru 3.06-3.41, 4 Sn 3.25-3.32
Nd 0.9338 0.8677 0.1111  3 Ru 3.06-3.41, 4 Sn 3.25-3.32
Sn 0.3616 0.7232 0.2500  2 Ru 2.75
Sn 0.3559 0.7117 0.5330  3 Ru 2.69-2.80
Sn 0.6384 0.2768 0.7500  2 Ru 2.75
Sn 0.3559 0.7117 0.9670  3 Ru 2.69-2.80
Sn 0.6441 0.2883 0.0330  3 Ru 2.69-2.80
Sn 0.6441 0.2883 0.4670  3 Ru 2.69-2.80

---

Computed, not measured: a relaxed structure of NdSn2Ru at the PBE-GGA level of DFT.

Values from the calculation:
Its total magnetization is 0.0 Bohr magnetons per cell. As for the symmetry: R-3m. As for the total DFT energy (no corrections): -5.94 eV per atom. For the energy relative to the elements, the calculation gives -164 kJ/mol of formula units.

a = 4.5193 Å, b = 4.5193 Å, c = 5.9454 Å
α = 67.66°, β = 67.66°, γ = 60.00°
Last column: nearest neighbours and their distance in Å.
Fractional coordinates of all 4 atoms:
Nd 0.0000 0.0000 0.0000  6 Sn 3.17
Sn 0.2214 0.2214 0.3358  3 Ru 2.75
Sn 0.7786 0.7786 0.6642  3 Ru 2.75
Ru 0.5000 0.5000 0.5000  6 Sn 2.75

---

Computed, not measured: a relaxed structure of NdSn8Ru2 at the PBE-GGA level of DFT.

Values from the calculation:
Its total magnetization is 0.0 Bohr magnetons per cell. As for the symmetry: P4/mmm. As for the total DFT energy (no corrections): -5.03 eV per atom. For the energy relative to the elements, the calculation gives -3 kJ/mol of formula units.

a = 6.4319 Å, b = 6.4319 Å, c = 7.7292 Å
α = 90.00°, β = 90.00°, γ = 90.00°
Last column: nearest neighbours and their distance in Å.
Fractional coordinates of all 11 atoms:
Ru 0.5000 0.0000 0.0000  8 Sn 2.77
Ru 0.0000 0.5000 0.0000  8 Sn 2.77
Sn 0.7547 0.2453 0.2040  2 Ru 2.77
Sn 0.2453 0.7547 0.2040  2 Ru 2.77
Sn 0.7547 0.7547 0.2040  2 Ru 2.77
Sn 0.2453 0.2453 0.7960  2 Ru 2.77
Sn 0.7547 0.2453 0.7960  2 Ru 2.77
Sn 0.2453 0.7547 0.7960  2 Ru 2.77
Sn 0.2453 0.2453 0.2040  2 Ru 2.77
Sn 0.7547 0.7547 0.7960  2 Ru 2.77
Nd 0.5000 0.5000 0.5000  8 Sn 3.26

---

Computed, not measured: a relaxed structure of NdSn3Ru at the PBE-GGA level of DFT.

Values from the calculation:
Its total magnetization is 0.0 Bohr magnetons per cell. As for the symmetry: Pnma. As for the total DFT energy (no corrections): -5.48 eV per atom. For the energy relative to the elements, the calculation gives -129 kJ/mol of formula units.

a = 6.0705 Å, b = 8.7794 Å, c = 9.4225 Å
α = 90.00°, β = 90.00°, γ = 90.00°
Last column: nearest neighbours and their distance in Å.
Fractional coordinates of all 20 atoms:
Nd 0.0032 0.9721 0.2500  7 Sn 3.13-3.30
Nd 0.4968 0.4721 0.7500  7 Sn 3.13-3.30
Nd 0.9968 0.0279 0.7500  7 Sn 3.13-3.30
Nd 0.5032 0.5279 0.2500  7 Sn 3.13-3.30
Sn 0.2510 0.2506 0.4223  2 Ru 2.77, 2 Sn 3.04
Sn 0.7490 0.7494 0.5777  2 Ru 2.77, 2 Sn 3.04
Sn 0.2490 0.7506 0.5777  2 Ru 2.77, 2 Sn 3.04
Sn 0.7490 0.7494 0.9223  2 Ru 2.77, 2 Sn 3.04
Sn 0.0029 0.6156 0.2500  2 Ru 2.57
Sn 0.7510 0.2494 0.0777  2 Ru 2.77, 2 Sn 3.04
Sn 0.7510 0.2494 0.4223  2 Ru 2.77, 2 Sn 3.04
Sn 0.2510 0.2506 0.0777  2 Ru 2.77, 2 Sn 3.04
Sn 0.4971 0.1156 0.7500  2 Ru 2.57
Sn 0.5029 0.8844 0.2500  2 Ru 2.57
Sn 0.9971 0.3844 0.7500  2 Ru 2.57
Sn 0.2490 0.7506 0.9223  2 Ru 2.77, 2 Sn 3.04
Ru 0.0000 0.5000 0.5000  6 Sn 2.57-2.77
Ru 0.5000 0.0000 0.5000  6 Sn 2.57-2.77
Ru 0.0000 0.5000 0.0000  6 Sn 2.57-2.77
Ru 0.5000 0.0000 0.0000  6 Sn 2.57-2.77